# 1
First-principles (PBE-GGA) data for Zn2POs after structural relaxation, as listed in Alexandria via LeMat-Bulk.

Lattice parameters (Å, degrees): 2.8450 4.8875 4.2234 90.00 97.49 90.00
Last column: nearest neighbours and their distance in Å.
Positions (direct):
Zn  0.2418  0.0000  0.2524  3 Zn 2.38-2.65
Zn  0.7582  0.0000  0.7476  3 Zn 2.38-2.65
P  0.0000  0.5000  0.0000  2 Os 2.39
Os  0.5000  0.5000  0.5000  2 P 2.39

Computed properties:
- E_form (meV per atom) = 282.8


# 2
First-principles (PBE-GGA) data for ZnPOs2 after structural relaxation, as listed in Alexandria via LeMat-Bulk.

Lattice parameters (Å, degrees): 5.5643 5.5643 5.5643 101.58 101.58 126.75
Last column: nearest neighbours and their distance in Å.
Positions (direct):
Zn  0.0000  0.0000  0.0000  2 P 2.49
Zn  0.7500  0.2500  0.5000  2 P 2.49
P  0.2500  0.7500  0.5000  4 Os 2.24, 2 Zn 2.49
P  0.5000  0.5000  0.0000  4 Os 2.24, 2 Zn 2.49
Os  0.1988  0.6250  0.0738  2 P 2.24
Os  0.3750  0.4488  0.5738  2 P 2.24
Os  0.5512  0.1250  0.9262  2 P 2.24
Os  0.8750  0.8012  0.4262  2 P 2.24

Computed properties:
- distance to the lowest polymorph of the same formula (kJ/mol of formula units) = 111
- E_form (meV per atom) = 367.7


# 3
First-principles (PBE-GGA) data for ZnPOs2 after structural relaxation, as listed in Alexandria via LeMat-Bulk.

Lattice parameters (Å, degrees): 4.1055 4.1055 5.1727 100.26 100.26 40.90
Last column: nearest neighbours and their distance in Å.
Positions (direct):
Zn  0.0000  0.0000  0.0000  6 Os 2.56-2.65, 2 Zn 2.87
P  0.5000  0.5000  0.5000  6 Os 2.45-2.47
Os  0.2409  0.2409  0.7192  3 P 2.45-2.47, 3 Zn 2.56-2.65, 2 Os 2.71
Os  0.7591  0.7591  0.2808  3 P 2.45-2.47, 3 Zn 2.56-2.65, 2 Os 2.71

Computed properties:
- distance to the lowest polymorph of the same formula (kJ/mol of formula units) = 45
- E_form (meV per atom) = 196.0


# 4
First-principles (PBE-GGA) data for Zn4POs after structural relaxation, as listed in Alexandria via LeMat-Bulk.

Lattice parameters (Å, degrees): 4.9360 4.9360 4.9360 60.00 60.00 60.00
Last column: nearest neighbours and their distance in Å.
Positions (direct):
Zn  0.1243  0.1243  0.1243  6 Zn 2.45-2.48
Zn  0.1243  0.1243  0.6271  6 Zn 2.45-2.48
Zn  0.1243  0.6271  0.1243  6 Zn 2.45-2.48
Zn  0.6271  0.1243  0.1243  6 Zn 2.45-2.48
P  0.5000  0.5000  0.5000  12 Zn 2.90, 4 Os 3.02
Os  0.7500  0.7500  0.7500  12 Zn 2.89, 4 P 3.02

Computed properties:
- E_form (meV per atom) = 354.3


# 5
First-principles (PBE-GGA) data for Zn2POs after structural relaxation, as listed in Alexandria via LeMat-Bulk.

Lattice parameters (Å, degrees): 2.9498 3.5281 5.4415 90.00 90.00 90.00
Last column: nearest neighbours and their distance in Å.
Positions (direct):
Zn  0.0000  0.0000  0.0000  4 Zn 2.60, 2 Os 2.60-2.84, 4 P 2.84
Zn  0.5000  0.5000  0.2246  1 P 2.56, 4 Zn 2.60, 4 Os 2.81
P  0.5000  0.5000  0.6945  4 Os 2.48, 1 Zn 2.56
Os  0.0000  0.0000  0.5214  4 P 2.48, 1 Zn 2.60

Computed properties:
- E_form (meV per atom) = 108.2


# 6
First-principles (PBE-GGA) data for Zn2POs after structural relaxation, as listed in Alexandria via LeMat-Bulk.

Lattice parameters (Å, degrees): 4.5840 4.5840 3.0402 90.00 90.00 116.88
Last column: nearest neighbours and their distance in Å.
Positions (direct):
Zn  0.0000  0.5000  0.0000  2 Zn 2.40
Zn  0.5000  0.0000  0.0000  2 Zn 2.40
P  0.0000  0.0000  0.5000  2 Os 2.40
Os  0.5000  0.5000  0.5000  2 P 2.40

Computed properties:
- E_form (meV per atom) = 218.1


# 7
First-principles (PBE-GGA) data for ZnPOs2 after structural relaxation, as listed in Alexandria via LeMat-Bulk.

Lattice parameters (Å, degrees): 8.1757 8.1757 8.1757 19.96 19.96 19.96
Last column: nearest neighbours and their distance in Å.
Positions (direct):
Zn  0.0000  0.0000  0.0000  6 Os 2.78, 6 Zn 2.83
P  0.5000  0.5000  0.5000  6 Os 2.40
Os  0.2397  0.2397  0.2397  3 P 2.40
Os  0.7603  0.7603  0.7603  3 P 2.40

Computed properties:
- distance to the lowest polymorph of the same formula (kJ/mol of formula units) = 0
- E_form (meV per atom) = 79.5


# 8
First-principles (PBE-GGA) data for ZrPOs after structural relaxation, as listed in Alexandria via LeMat-Bulk.

Lattice parameters (Å, degrees): 4.1944 4.1944 3.1761 90.00 90.00 120.00
Last column: nearest neighbours and their distance in Å.
Positions (direct):
Zr  0.0000  0.0000  0.0000  6 P 2.90, 6 Os 2.90, 2 Zr 3.18
P  0.3333  0.6667  0.5000  3 Os 2.42
Os  0.6667  0.3333  0.5000  3 P 2.42

Computed properties:
- E_form (meV per atom) = -688.5


# 9
First-principles (PBE-GGA) data for ZrPOs2 after structural relaxation, as listed in Alexandria via LeMat-Bulk.

Lattice parameters (Å, degrees): 5.1839 5.1839 5.1839 137.40 137.40 61.82
Last column: nearest neighbours and their distance in Å.
Positions (direct):
Zr  0.0000  0.0000  0.0000  4 P 2.66, 8 Os 2.91
P  0.5000  0.5000  0.0000  4 Zr 2.66, 8 Os 2.91
Os  0.2500  0.7500  0.5000  4 Os 2.66, 4 Zr 2.91, 4 P 2.91
Os  0.7500  0.2500  0.5000  4 Os 2.66, 4 Zr 2.91, 4 P 2.91

Computed properties:
- E_form (meV per atom) = 7.6


# 10
First-principles (PBE-GGA) data for ZrPOs after structural relaxation, as listed in Alexandria via LeMat-Bulk.

Lattice parameters (Å, degrees): 4.3566 4.3566 4.3566 60.00 60.00 60.00
Last column: nearest neighbours and their distance in Å.
Positions (direct):
Zr  0.0000  0.0000  0.0000  4 Os 2.67, 4 P 2.67
P  0.2500  0.2500  0.2500  4 Zr 2.67
Os  0.7500  0.7500  0.7500  4 Zr 2.67

Computed properties:
- E_form (meV per atom) = 256.1


# 11
First-principles (PBE-GGA) data for ZrPOs2 after structural relaxation, as listed in Alexandria via LeMat-Bulk.

Lattice parameters (Å, degrees): 5.7020 5.7020 5.7020 102.60 102.60 124.32
Last column: nearest neighbours and their distance in Å.
Positions (direct):
Zr  0.0000  0.0000  0.0000  2 P 2.66, 4 Os 2.93
Zr  0.7500  0.2500  0.5000  2 P 2.66, 4 Os 2.93
P  0.2500  0.7500  0.5000  4 Os 2.25
P  0.5000  0.5000  0.0000  4 Os 2.25
Os  0.2066  0.6250  0.0816  2 P 2.25
Os  0.3750  0.4566  0.5816  2 P 2.25
Os  0.5434  0.1250  0.9184  2 P 2.25
Os  0.8750  0.7934  0.4184  2 P 2.25

Computed properties:
- E_form (meV per atom) = -57.8


# 12
First-principles (PBE-GGA) data for ZrPOs2 after structural relaxation, as listed in Alexandria via LeMat-Bulk.

Lattice parameters (Å, degrees): 4.4733 4.4733 4.4733 60.00 60.00 60.00
Last column: nearest neighbours and their distance in Å.
Positions (direct):
Zr  0.0000  0.0000  0.0000  4 Os 2.74, 4 P 2.74
P  0.2500  0.2500  0.2500  4 Os 2.74, 4 Zr 2.74
Os  0.5000  0.5000  0.5000  4 Os 2.74, 4 P 2.74
Os  0.7500  0.7500  0.7500  4 Os 2.74, 4 Zr 2.74

Computed properties:
- E_form (meV per atom) = 251.5


We obtain calculated volume values of 58.2 123.4 56.0 85.0 56.6 57.0 55.7 48.4 63.1 58.5 135.4 63.3 Å³ per cell for the records listed above, in that order.